Record 1
The following is a SCAN calculation of a PBEsol-optimized structure of Sc2PRu, from Alexandria.

abc: 4.396 4.396 4.396
angles: 60.00 60.00 60.00
Element x y z (fractional)
P (0.500, 0.500, 0.500)
Ru (0.250, 0.250, 0.250)
Sc (0.000, 0.000, 0.000)
Sc (0.750, 0.750, 0.750)

Results
- total energy (eV/atom) = -18.95
- energy of formation from the pure elements (eV/atom) = -0.5246
- total magnetization (μB per cell) = 0.0
- SG = F-43m

Record 2
The following is a SCAN calculation of a PBEsol-optimized structure of Ta2FeRu, from Alexandria.

abc: 2.785 4.106 5.322
angles: 90.00 101.86 90.00
Each line ends with the local moment (μB).
Element x y z (fractional)
Fe (0.500, 0.500, 0.000)  2.44
Ru (0.000, 0.500, 0.500)  0.32
Ta (0.743, 0.000, 0.753)  -0.13
Ta (0.257, 0.000, 0.247)  -0.13

Results
- total energy (eV/atom) = -46.64
- energy of formation from the pure elements (eV/atom) = -0.1066
- total magnetization (μB per cell) = 2.4
- SG = P2/m

Record 3
The following is a SCAN calculation of a PBEsol-optimized structure of HfReSi, from Alexandria.

abc: 3.361 6.903 6.903
angles: 120.00 90.00 90.00
Element x y z (fractional)
Hf (0.500, 0.597, 0.000)
Hf (0.500, 0.403, 0.403)
Hf (0.500, 0.000, 0.597)
Re (0.000, 0.256, 0.000)
Re (0.000, 0.744, 0.744)
Re (0.000, 0.000, 0.256)
Si (0.000, 0.333, 0.667)
Si (0.000, 0.667, 0.333)
Si (0.500, 0.000, 0.000)

Results
- total energy (eV/atom) = -48.78
- total magnetization (μB per cell) = 0.0
- SG = P-62m

Record 4
The following is a SCAN calculation of a PBEsol-optimized structure of Li2GePd, from Alexandria.

abc: 4.903 5.547 5.547
angles: 78.74 63.77 63.77
Element x y z (fractional)
Ge (0.500, 0.000, 0.000)
Ge (0.250, 0.500, 0.500)
Pd (0.000, 0.000, 0.000)
Pd (0.750, 0.500, 0.500)
Li (0.638, 0.987, 0.487)
Li (0.112, 0.013, 0.513)
Li (0.375, 0.513, 0.987)
Li (0.875, 0.487, 0.013)

Results
- total energy (eV/atom) = -14.42
- energy of formation from the pure elements (eV/atom) = -0.2547
- total magnetization (μB per cell) = 0.0
- SG = I-42d

Record 5
The following is a SCAN calculation of a PBEsol-optimized structure of TaTcBr, from Alexandria.

abc: 3.115 3.115 5.905
angles: 105.29 105.29 90.00
Element x y z (fractional)
Tc (0.313, 0.313, 0.626)
Br (0.001, 0.001, 0.003)
Ta (0.686, 0.686, 0.372)

Results
- total energy (eV/atom) = -40.05
- total magnetization (μB per cell) = 0.0
- SG = I4mm

Record 6
The following is a SCAN calculation of a PBEsol-optimized structure of LiCa2Ni, from Alexandria.

abc: 3.468 4.943 6.342
angles: 112.94 105.87 90.00
Element x y z (fractional)
Ca (0.945, 0.445, 0.889)
Ca (0.745, 0.745, 0.489)
Li (0.571, 0.071, 0.142)
Ni (0.240, 0.240, 0.480)

Results
- total energy (eV/atom) = -9.37
- energy of formation from the pure elements (eV/atom) = 0.1057
- total magnetization (μB per cell) = 0.0
- SG = Imm2

Record 7
The following is a SCAN calculation of a PBEsol-optimized structure of BaLi2Zn, from Alexandria.

abc: 4.736 4.734 6.328
angles: 112.00 90.00 120.02
Element x y z (fractional)
Zn (0.557, 0.114, 0.671)
Ba (0.754, 0.508, 0.262)
Li (0.945, 0.890, 0.835)
Li (0.244, 0.487, 0.731)

Results
- total energy (eV/atom) = -14.54
- energy of formation from the pure elements (eV/atom) = -0.0791
- total magnetization (μB per cell) = 0.0
- SG = Cm

Record 8
The following is a SCAN calculation of a PBEsol-optimized structure of SmZnCuP2, from Alexandria.

abc: 3.954 3.954 6.530
angles: 90.00 90.00 120.00
Element x y z (fractional)
P (0.667, 0.333, 0.262)
P (0.333, 0.667, 0.738)
Zn (0.333, 0.667, 0.372)
Cu (0.667, 0.333, 0.642)
Sm (0.000, 0.000, 0.986)

Results
- total energy (eV/atom) = -19.66
- energy of formation from the pure elements (eV/atom) = -0.8687
- total magnetization (μB per cell) = 0.0
- SG = P3m1

Record 9
The following is a SCAN calculation of a PBEsol-optimized structure of ZrMoRu, from Alexandria.

abc: 4.323 4.323 4.323
angles: 60.00 60.00 60.00
Each line ends with the local moment (μB).
Element x y z (fractional)
Mo (0.000, 0.000, 0.000)  2.03
Ru (0.500, 0.500, 0.500)  0.23
Zr (0.250, 0.250, 0.250)  0.07

Results
- total energy (eV/atom) = -32.48
- energy of formation from the pure elements (eV/atom) = 0.9890
- total magnetization (μB per cell) = 2.5
- SG = F-43m

Record 10
The following is a SCAN calculation of a PBEsol-optimized structure of RuPt2W, from Alexandria.

abc: 3.819 3.819 3.998
angles: 90.00 90.00 90.00
Element x y z (fractional)
Pt (0.000, 0.500, 0.000)
Pt (0.500, 0.000, 0.000)
Ru (0.500, 0.500, 0.500)
W (0.000, 0.000, 0.500)

Results
- total energy (eV/atom) = -61.39
- energy of formation from the pure elements (eV/atom) = -0.1692
- total magnetization (μB per cell) = 0.0
- SG = P4/mmm

Record 11
The following is a SCAN calculation of a PBEsol-optimized structure of Dy5SbPt2, from Alexandria.

abc: 7.673 8.586 7.673
angles: 116.54 90.00 116.54
Element x y z (fractional)
Dy (0.000, 0.000, 0.000)
Dy (0.500, 0.000, 0.500)
Dy (0.203, 0.722, 0.019)
Dy (0.797, 0.278, 0.981)
Dy (0.519, 0.722, 0.703)
Dy (0.703, 0.722, 0.203)
Dy (0.981, 0.278, 0.481)
Dy (0.481, 0.278, 0.297)
Dy (0.297, 0.278, 0.797)
Dy (0.019, 0.722, 0.519)
Sb (0.750, 0.500, 0.750)
Sb (0.250, 0.500, 0.250)
Pt (0.863, 0.000, 0.637)
Pt (0.137, 0.000, 0.363)
Pt (0.363, 0.000, 0.863)
Pt (0.637, 0.000, 0.137)

Results
- total energy (eV/atom) = -53.26
- total magnetization (μB per cell) = 0.0
- SG = I4/mcm

Record 12
The following is a SCAN calculation of a PBEsol-optimized structure of BaCd2Au2, from Alexandria.

abc: 4.448 4.448 7.022
angles: 108.46 108.46 90.00
Element x y z (fractional)
Au (0.390, 0.390, 0.780)
Au (0.610, 0.610, 0.220)
Ba (0.000, 0.000, 0.000)
Cd (0.250, 0.750, 0.500)
Cd (0.750, 0.250, 0.500)

Results
- total energy (eV/atom) = -48.36
- energy of formation from the pure elements (eV/atom) = -0.6199
- total magnetization (μB per cell) = 0.0
- SG = I4/mmm

What did the eighth record say?
The following is a SCAN calculation of a PBEsol-optimized structure of SmZnCuP2, from Alexandria.

abc: 3.954 3.954 6.530
angles: 90.00 90.00 120.00
Element x y z (fractional)
P (0.667, 0.333, 0.262)
P (0.333, 0.667, 0.738)
Zn (0.333, 0.667, 0.372)
Cu (0.667, 0.333, 0.642)
Sm (0.000, 0.000, 0.986)

Results
- total energy (eV/atom) = -19.66
- energy of formation from the pure elements (eV/atom) = -0.8687
- total magnetization (μB per cell) = 0.0
- SG = P3m1